[1]
# CsTlCdPd2 (meta-GGA SCAN, PBEsol geometry)
data_CsTlCdPd2
_symmetry_space_group_name_H-M 'P 1'
_symmetry_Int_Tables_number 1
_symmetry_space_group_name_Hall 'P 1'
_cell_length_a 5.0998
_cell_length_b 5.0998
_cell_length_c 6.0361
_cell_angle_alpha 90.00
_cell_angle_beta 90.00
_cell_angle_gamma 90.00
loop_
_atom_site_label
_atom_site_type_symbol
_atom_site_fract_x
_atom_site_fract_y
_atom_site_fract_z
Cs1 Cs 0.0000 0.0000 0.5000
Tl1 Tl 0.5000 0.5000 0.5000
Pd1 Pd 0.0000 0.5000 0.0000
Pd2 Pd 0.5000 0.0000 0.0000
Cd1 Cd 0.0000 0.0000 0.0000
# Density = 7.01 Mg/m³
# Calculated total energy = -40.660 eV per atom
# ΔH_f (0 K) = 0.5660 eV/atom
# Space-group type = P4/mmm, No. 123
# Total magnetic moment = 0.00 μB per formula unit

---

[2]
# CsPrCdSe3 (meta-GGA SCAN, PBEsol geometry)
data_CsPrCdSe3
_symmetry_space_group_name_H-M 'P 1'
_symmetry_Int_Tables_number 1
_symmetry_space_group_name_Hall 'P 1'
_cell_length_a 4.3345
_cell_length_b 8.1966
_cell_length_c 11.2965
_cell_angle_alpha 90.00
_cell_angle_beta 90.00
_cell_angle_gamma 105.33
loop_
_atom_site_label
_atom_site_type_symbol
_atom_site_fract_x
_atom_site_fract_y
_atom_site_fract_z
Pr1 Pr 0.0000 0.0000 0.5000
Pr2 Pr 0.0000 0.0000 0.0000
Cs1 Cs 0.2549 0.5098 0.7500
Cs2 Cs 0.7451 0.4902 0.2500
Se1 Se 0.9359 0.8719 0.7500
Se2 Se 0.0641 0.1281 0.2500
Se3 Se 0.3765 0.7529 0.4463
Se4 Se 0.3765 0.7529 0.0537
Se5 Se 0.6235 0.2471 0.9463
Se6 Se 0.6235 0.2471 0.5537
Cd1 Cd 0.5374 0.0747 0.7500
Cd2 Cd 0.4626 0.9253 0.2500
# Density = 5.35 Mg/m³
# Calculated total energy = -30.199 eV per atom
# Space-group type = Cmcm, No. 63
# ΔE_f (raw) = -1.568 eV/atom
# Total magnetic moment = 0.00 μB per formula unit

---

[3]
# Cs3CdPt (meta-GGA SCAN, PBEsol geometry)
data_Cs3CdPt
_symmetry_space_group_name_H-M 'P 1'
_symmetry_Int_Tables_number 1
_symmetry_space_group_name_Hall 'P 1'
_cell_length_a 6.5897
_cell_length_b 6.5897
_cell_length_c 6.5897
_cell_angle_alpha 90.00
_cell_angle_beta 90.00
_cell_angle_gamma 90.00
loop_
_atom_site_label
_atom_site_type_symbol
_atom_site_fract_x
_atom_site_fract_y
_atom_site_fract_z
Cs1 Cs 0.0000 0.5000 0.0000
Cs2 Cs 0.0000 0.0000 0.5000
Cs3 Cs 0.5000 0.0000 0.0000
Pt1 Pt 0.5000 0.5000 0.5000
Cd1 Cd 0.0000 0.0000 0.0000
# Density = 4.10 Mg/m³
# Calculated total energy = -42.228 eV per atom
# ΔH_f (0 K) = 0.5798 eV/atom
# Space-group type = Pm-3m, No. 221
# Total magnetic moment = 0.91 μB per formula unit

---

[4]
# CsCd3Pt (meta-GGA SCAN, PBEsol geometry)
data_CsCd3Pt
_symmetry_space_group_name_H-M 'P 1'
_symmetry_Int_Tables_number 1
_symmetry_space_group_name_Hall 'P 1'
_cell_length_a 5.2837
_cell_length_b 5.2837
_cell_length_c 5.2837
_cell_angle_alpha 90.00
_cell_angle_beta 90.00
_cell_angle_gamma 90.00
loop_
_atom_site_label
_atom_site_type_symbol
_atom_site_fract_x
_atom_site_fract_y
_atom_site_fract_z
Cs1 Cs 0.5000 0.5000 0.5000
Pt1 Pt 0.0000 0.0000 0.0000
Cd1 Cd 0.0000 0.5000 0.0000
Cd2 Cd 0.0000 0.0000 0.5000
Cd3 Cd 0.5000 0.0000 0.0000
# Density = 7.49 Mg/m³
# Calculated total energy = -40.149 eV per atom
# ΔH_f (0 K) = -0.2997 eV/atom
# Space-group type = Pm-3m, No. 221
# Total magnetic moment = 0.00 μB per formula unit

---

Q: The highest total magnetic moment belongs to which entry?
A: Cs3CdPt